(1)
TaFeRu: optimized geometry, PBE.

Properties
Relative energy among the computed polymorphs (eV/atom): 0.000
Energy relative to the elements (eV/atom): -0.143
M_tot (μB per cell): 2.92
Calculated volume (A^3/atom): 14.8
Space group: I4mm, No. 107

Unit cell a=4.995 b=4.995 c=4.995 alpha=143.25 beta=143.25 gamma=52.96
Fractional positions:
Ta (0.000, 0.000, 0.000)
Fe (0.666, 0.666, 0.000)
Ru (0.331, 0.331, 0.000)


(2)
NiBiPC2: optimized geometry, PBE.

Properties
Energy relative to the elements (eV/atom): 1.609
M_tot (μB per cell): 0.33
Calculated volume (A^3/atom): 14.8
Space group: P4/mmm, No. 123

Unit cell a=3.858 b=3.858 c=4.987 alpha=90.00 beta=90.00 gamma=90.00
Fractional positions:
Ni (0.000, 0.000, 0.000)
Bi (0.500, 0.500, 0.500)
P (0.000, 0.000, 0.500)
C (0.000, 0.500, 0.000)
C (0.500, 0.000, 0.000)


(3)
ZrTlP2: optimized geometry, PBE.

Properties
Relative energy among the computed polymorphs (eV/atom): 0.453
Energy relative to the elements (eV/atom): -0.058
M_tot (μB per cell): 0.00
Calculated volume (A^3/atom): 19.6
Space group: I4/mmm, No. 139

Unit cell a=4.687 b=4.687 c=4.687 alpha=113.10 beta=113.10 gamma=102.43
Fractional positions:
Zr (0.000, 0.000, 0.000)
Tl (0.500, 0.500, 0.000)
P (0.250, 0.750, 0.500)
P (0.750, 0.250, 0.500)


(4)
ZrFe2Rh2: optimized geometry, PBE.

Properties
Relative energy among the computed polymorphs (eV/atom): 0.036
Energy relative to the elements (eV/atom): -0.138
M_tot (μB per cell): 12.03
Calculated volume (A^3/atom): 15.2
Space group: P4/mbm, No. 127

Unit cell a=7.271 b=7.271 c=2.874 alpha=90.00 beta=90.00 gamma=90.00
Fractional positions:
Zr (0.000, 0.000, 0.000)
Zr (0.500, 0.500, 0.000)
Fe (0.160, 0.340, 0.500)
Fe (0.340, 0.840, 0.500)
Fe (0.660, 0.160, 0.500)
Fe (0.840, 0.660, 0.500)
Rh (0.136, 0.636, 0.000)
Rh (0.364, 0.136, 0.000)
Rh (0.636, 0.864, 0.000)
Rh (0.864, 0.364, 0.000)